A plane-wave DFT calculation with PBE-GGA was carried out for crystalline Ti11Ga9Os4 at its relaxed geometry.

a = 12.969 Å, b = 19.596 Å, c = 3.044 Å
α = 90.00°, β = 90.00°, γ = 90.00°
Space group Cmmm (No. 65)
One atom of each set of equivalent atoms:
Ti 0.000 0.000 0.000 x2
Ti 0.000 0.158 0.000 x4
Ti 0.000 0.372 0.000 x4
Ti 0.196 0.500 0.000 x4
Ti 0.231 0.177 0.000 x8
Ga 0.000 0.500 0.500 x2
Ga 0.104 0.263 0.500 x8
Ga 0.139 0.073 0.500 x8
Os 0.159 0.396 0.500 x8

## Properties
DFT formation energy: -444.9 meV/atom
E: -7.070 eV per atom
magnetization: 0.02 μB/f.u.

---

A plane-wave DFT calculation with PBE-GGA was carried out for crystalline BaNa2ZnAg at its relaxed geometry.

a = 5.563 Å, b = 5.563 Å, c = 6.431 Å
α = 90.00°, β = 90.00°, γ = 90.00°
Space group P4/mmm (No. 123)
One atom of each set of equivalent atoms:
Ba 0.000 0.000 0.000 x1
Na 0.000 0.500 0.500 x2
Zn 0.500 0.500 0.000 x1
Ag 0.000 0.000 0.500 x1

## Properties
DFT formation energy: 150.1 meV/atom
energy above the lowest structure with this stoichiometry: 0.110 eV/atom
E: -1.587 eV per atom
magnetization: 0.00 μB/f.u.

---

A plane-wave DFT calculation with PBE-GGA was carried out for crystalline Hg2AsF8 at its relaxed geometry.

a = 6.399 Å, b = 10.347 Å, c = 5.799 Å
α = 90.00°, β = 96.15°, γ = 90.00°
Space group C2/m (No. 12)
One atom of each set of equivalent atoms:
Hg 0.000 0.166 0.000 x4
As 0.000 0.500 0.500 x2
F 0.000 0.325 0.500 x4
F 0.222 0.357 0.144 x8
F 0.240 0.000 0.331 x4

## Properties
formation energy without anion corrections: -1.462 eV/atom
E: -3.301 eV per atom
magnetization: 1.01 μB/f.u.

---

A plane-wave DFT calculation with PBE-GGA was carried out for crystalline Ba2Re4Pd at its relaxed geometry.

a = 4.845 Å, b = 4.845 Å, c = 17.211 Å
α = 90.00°, β = 90.00°, γ = 90.00°
Space group I4/mmm (No. 139)
One atom of each set of equivalent atoms:
Ba 0.000 0.000 0.151 x4
Re 0.000 0.000 0.358 x4
Re 0.000 0.500 0.000 x4
Pd 0.000 0.000 0.500 x2

## Properties
DFT formation energy: 2310.0 meV/atom
E: -6.094 eV per atom
magnetization: 6.81 μB/f.u.